Arrangement P

Density functional theory data (PBE-GGA) for crystalline HgPPdO at its relaxed geometry.

Cell: 3.6286 6.1529 6.2692 Å, 90.00 90.00 90.00°
Sites, in units of the cell vectors:
Pd 0.5000 0.0303 0.5408
P 0.0000 0.2152 0.3875
O 0.5000 0.2124 0.8111
Hg 0.0000 0.6034 0.5147
O 0.5000 0.7876 0.3111
Hg 0.0000 0.3966 0.0147
P 0.0000 0.7848 0.8875
Pd 0.5000 0.9697 0.0408

* volume: 140 Å³ per cell

=====

Arrangement Q

Density functional theory data (PBE-GGA) for crystalline HgPPdO at its relaxed geometry.

Cell: 4.3120 4.3120 7.3002 Å, 90.00 90.00 90.00°
Sites, in units of the cell vectors:
Hg 0.0000 0.5000 0.1103
O 0.5000 0.5000 0.0000
Pd 0.5000 0.5000 0.5000
Pd 0.0000 0.0000 0.5000
P 0.0000 0.5000 0.6454
Hg 0.5000 0.0000 0.8897
O 0.0000 0.0000 0.0000
P 0.5000 0.0000 0.3546

* volume: 136 Å³ per cell

=====

Arrangement R

Density functional theory data (PBE-GGA) for crystalline HgPPdO at its relaxed geometry.

Cell: 3.9823 6.4477 5.7912 Å, 90.00 90.00 90.00°
Sites, in units of the cell vectors:
Hg 0.5000 0.8257 0.0063
O 0.5000 0.1818 0.9321
Pd 0.0000 0.7178 0.4667
P 0.0000 0.6231 0.8489
Pd 0.0000 0.2822 0.9667
P 0.0000 0.3769 0.3489
O 0.5000 0.8182 0.4321
Hg 0.5000 0.1743 0.5063

* volume: 149 Å³ per cell

=====

Energy relative to the most stable one, in eV/atom: arrangement P 0.000; arrangement Q 0.042; arrangement R 0.070